Entry 1:
Computed, not measured: Tm2Co5SiB2 after structural relaxation at the PBE level of DFT.

Geometry as extended XYZ:
```
20
Lattice="-2.160 2.116 0.088 -6.168 -6.271 -0.599 -0.236 -0.608 8.792" Properties=species:S:1:pos:R:3 pbc="T T T"
B -2.379 -2.463 0.816
B -4.025 -4.416 7.377
B -5.525 -5.758 2.824
B -0.879 -1.121 5.370
Co -2.453 -0.363 0.504
Co -3.815 -1.826 2.246
Co -4.164 -2.077 -0.255
Co -6.885 -4.925 1.420
Co -1.198 0.754 4.440
Co -1.679 0.162 6.861
Co -4.749 -2.937 6.036
Co -6.111 -4.400 7.778
Co -2.941 -1.042 4.864
Co -5.624 -3.720 3.418
Tm -1.170 -1.308 2.731
Tm -2.184 -2.523 7.040
Tm -5.234 -5.571 5.463
Tm -4.220 -4.355 1.154
Si 0.000 0.000 0.000
Si -3.202 -3.439 4.097
```

Its space-group type is P4/mbm (127). For the uncorrected formation energy, the calculation gives -496 meV/atom.

---

Entry 2:
Computed, not measured: HfWAu2Cl after structural relaxation at the PBE level of DFT.

Geometry as extended XYZ:
```
5
Lattice="-4.277 2.231 1.562 -2.715 -3.478 -2.468 -0.014 -2.927 4.140" Properties=species:S:1:pos:R:3 pbc="T T T"
Au -2.139 1.115 0.781
Au -0.007 -1.463 2.070
Hf -1.358 -1.739 -1.234
Cl -3.503 -2.087 1.617
W 0.000 0.000 0.000
```

Its space-group type is P4/mmm (123). For the uncorrected formation energy, the calculation gives 960 meV/atom.

---

Entry 3:
Computed, not measured: PHPd2Cl after structural relaxation at the PBE level of DFT.

Geometry as extended XYZ:
```
5
Lattice="-0.546 4.221 1.441 -0.835 -1.709 4.689 4.398 0.268 0.881" Properties=species:S:1:pos:R:3 pbc="T T T"
Cl -0.417 -0.854 2.344
P 0.000 0.000 0.000
H 1.509 1.390 3.505
Pd -0.273 2.111 0.721
Pd 2.199 0.134 0.440
```

Its space-group type is P4/mmm (123). The calculation puts the electronic total energy at -18.3 eV for the cell shown.

---

Entry 4:
Computed, not measured: Li4ScRe after structural relaxation at the PBE level of DFT.

Geometry as extended XYZ:
```
6
Lattice="3.994 1.300 2.747 0.504 4.725 1.617 -0.544 1.055 4.877" Properties=species:S:1:pos:R:3 pbc="T T T"
Li 1.495 2.677 3.494
Li 1.230 3.191 5.871
Li 1.741 4.980 4.282
Li 3.442 3.310 4.833
Re 2.966 5.309 6.930
Sc 0.000 0.000 0.000
```

Its space-group type is F-43m (216). The calculation puts the formation energy at 0.39 eV per atom.